(1)
This record from Alexandria via LeMat-Bulk describes a relaxed structure of K2LiGa3F12. The functional is PBE-GGA.

a b c (Å): 7.1606 7.1606 7.1606
angles (deg): 61.67 61.67 61.67
With the nearest neighbours (Å) after each atom.
Positions (direct):
K 0.6427 0.6427 0.6427  3 F 2.89
K 0.3573 0.3573 0.3573  3 F 2.89
Li 0.0000 0.0000 0.0000  6 F 2.07
Ga 0.5000 0.0000 0.0000  6 F 1.85-1.96
Ga 0.0000 0.5000 0.0000  6 F 1.85-1.96
Ga 0.0000 0.0000 0.5000  6 F 1.85-1.96
F 0.3165 0.3165 0.9283  2 Ga 1.96
F 0.9231 0.9231 0.3396  1 Ga 1.85, 1 Li 2.07
F 0.3396 0.9231 0.9231  1 Ga 1.85, 1 Li 2.07
F 0.9283 0.3165 0.3165  2 Ga 1.96
F 0.9231 0.3396 0.9231  1 Ga 1.85, 1 Li 2.07
F 0.3165 0.9283 0.3165  2 Ga 1.96
F 0.6835 0.6835 0.0717  2 Ga 1.96
F 0.0769 0.0769 0.6604  1 Ga 1.85, 1 Li 2.07
F 0.6604 0.0769 0.0769  1 Ga 1.85, 1 Li 2.07
F 0.0717 0.6835 0.6835  2 Ga 1.96
F 0.0769 0.6604 0.0769  1 Ga 1.85, 1 Li 2.07
F 0.6835 0.0717 0.6835  2 Ga 1.96

Calculated values
total moment	0.000	μB per formula unit
raw formation energy	-265	kJ per mole of atoms



(2)
This record from Alexandria via LeMat-Bulk describes a relaxed structure of K2MgGaF6. The functional is PBE-GGA.

a b c (Å): 5.9093 5.9157 8.3618
angles (deg): 90.00 90.00 90.00
With the nearest neighbours (Å) after each atom.
Positions (direct):
K 0.5000 0.7501 0.2500  12 F 2.96
K 0.0000 0.2499 0.7500  12 F 2.96
K 0.5000 0.7501 0.7500  12 F 2.96
K 0.0000 0.2499 0.2500  12 F 2.96
Mg 0.0000 0.7497 0.5000  6 F 2.02
Mg 0.5000 0.2503 0.0000  6 F 2.02
Ga 0.5000 0.2499 0.5000  6 F 2.16
Ga 0.0000 0.7501 0.0000  6 F 2.16
F 0.5000 0.2504 0.2421  1 Mg 2.02, 1 Ga 2.16
F 0.5000 0.2504 0.7579  1 Mg 2.02, 1 Ga 2.16
F 0.0000 0.7496 0.2579  1 Mg 2.02, 1 Ga 2.16
F 0.0000 0.7496 0.7421  1 Mg 2.02, 1 Ga 2.16
F 0.2421 0.9918 0.5000  1 Mg 2.02, 1 Ga 2.16
F 0.7579 0.9918 0.5000  1 Mg 2.02, 1 Ga 2.16
F 0.2422 0.5077 0.5000  1 Mg 2.02, 1 Ga 2.16
F 0.7578 0.5077 0.5000  1 Mg 2.02, 1 Ga 2.16
F 0.7422 0.4923 0.0000  1 Mg 2.02, 1 Ga 2.16
F 0.2578 0.4923 0.0000  1 Mg 2.02, 1 Ga 2.16
F 0.2579 0.0082 0.0000  1 Mg 2.02, 1 Ga 2.16
F 0.7421 0.0082 0.0000  1 Mg 2.02, 1 Ga 2.16

Calculated values
total moment	0.517	μB per formula unit
raw formation energy	-270	kJ per mole of atoms



(3)
This record from Alexandria via LeMat-Bulk describes a relaxed structure of KMg2GaF8. The functional is PBE-GGA.

a b c (Å): 5.0254 5.0218 7.0938
angles (deg): 80.31 80.27 78.64
With the nearest neighbours (Å) after each atom.
Positions (direct):
K 0.0000 0.0000 0.5000  6 F 2.58-2.66
Mg 0.4503 0.4505 0.7295  5 F 1.96-2.04
Mg 0.5497 0.5495 0.2705  5 F 1.96-2.04
Ga 0.0000 0.0000 0.0000  6 F 1.88-1.95
F 0.2083 0.7723 0.1954  1 Ga 1.95, 1 Mg 1.96
F 0.7533 0.7510 0.0506  1 Ga 1.88, 1 Mg 1.96
F 0.7709 0.2068 0.1960  1 Ga 1.95, 1 Mg 1.96
F 0.7917 0.2277 0.8046  1 Ga 1.95, 1 Mg 1.96
F 0.2467 0.2490 0.9494  1 Ga 1.88, 1 Mg 1.96
F 0.2291 0.7932 0.8040  1 Ga 1.95, 1 Mg 1.96
F 0.6590 0.6570 0.4973  2 Mg 1.97-2.04
F 0.3410 0.3429 0.5027  2 Mg 1.97-2.04

Calculated values
total moment	0.108	μB per formula unit
raw formation energy	-297	kJ per mole of atoms



no.,DOS(E_F) (states/eV/f.u.)
1,0.000
2,2.824
3,0.000